Record 1
{
  "formula": "Pr5Sm5Dy",
  "functional": "PBE",
  "state": "optimized geometry",
  "magmom_total_mub_per_cell": 0.03,
  "density_g_cm3": 6.91,
  "crystal_system": "monoclinic",
  "formation_energy_ev_per_atom": 0.24,
  "vol_a3_per_cell": 389.3,
  "lattice": [[6.139, 0.000, 0.000], [-3.070, 9.588, 0.364], [0.000, -2.825, 6.506]],
  "species": ["Pr", "Pr", "Pr", "Pr", "Pr", "Sm", "Sm", "Sm", "Sm", "Sm", "Dy"],
  "fractional_positions": [[0.826, 0.651, 0.070], [0.826, 0.651, 0.582], [0.500, 0.000, 0.000], [0.174, 0.349, 0.418], [0.174, 0.349, 0.930], [0.670, 0.339, 0.172], [0.624, 0.249, 0.627], [0.000, 0.000, 0.500], [0.376, 0.751, 0.373], [0.330, 0.661, 0.828], [0.000, 0.000, 0.000]]
}

Record 2
{
  "formula": "Pr6Sm4Dy",
  "functional": "PBE",
  "state": "optimized geometry",
  "magmom_total_mub_per_cell": 0.00,
  "density_g_cm3": 6.75,
  "crystal_system": "tetragonal",
  "formation_energy_ev_per_atom": 0.28,
  "vol_a3_per_cell": 395.9,
  "lattice": [[-4.588, -2.110, 4.656], [2.577, -6.358, -0.342], [6.399, 6.089, 3.998]],
  "species": ["Pr", "Pr", "Pr", "Pr", "Pr", "Pr", "Sm", "Sm", "Sm", "Sm", "Dy"],
  "fractional_positions": [[0.868, 0.488, 0.356], [0.488, 0.868, 0.356], [0.512, 0.512, 0.644], [0.000, 0.500, 0.000], [0.132, 0.132, 0.644], [0.500, 0.000, 0.000], [0.057, 0.709, 0.766], [0.943, 0.943, 0.234], [0.709, 0.057, 0.766], [0.291, 0.291, 0.234], [0.500, 0.500, 0.000]]
}

Record 3
{
  "formula": "Pr2SmDy",
  "functional": "PBE",
  "state": "optimized geometry",
  "magmom_total_mub_per_cell": 0.00,
  "density_g_cm3": 7.17,
  "crystal_system": "tetragonal",
  "formation_energy_ev_per_atom": 0.10,
  "vol_a3_per_cell": 137.8,
  "lattice": [[-4.131, -0.159, 1.056], [-0.408, -3.665, -2.146], [1.750, -3.863, 6.267]],
  "species": ["Pr", "Pr", "Sm", "Dy"],
  "fractional_positions": [[0.000, 0.000, 0.756], [0.000, 0.000, 0.244], [0.500, 0.500, 0.500], [0.500, 0.500, 0.000]]
}

Record 4
{
  "formula": "Pr5Sm4Dy3",
  "functional": "PBE",
  "state": "optimized geometry",
  "magmom_total_mub_per_cell": 0.00,
  "density_g_cm3": 7.26,
  "crystal_system": "triclinic",
  "formation_energy_ev_per_atom": 0.01,
  "vol_a3_per_cell": 409.9,
  "lattice": [[7.011, -0.363, 1.923], [-5.259, 7.526, -6.959], [4.080, -3.784, 11.898]],
  "species": ["Pr", "Pr", "Pr", "Pr", "Pr", "Sm", "Sm", "Sm", "Sm", "Dy", "Dy", "Dy"],
  "fractional_positions": [[0.335, 0.665, 0.830], [0.500, 0.000, 0.500], [0.750, 0.498, 0.998], [0.250, 0.502, 0.002], [0.665, 0.335, 0.170], [0.916, 0.832, 0.666], [0.835, 0.670, 0.834], [0.165, 0.330, 0.166], [0.084, 0.168, 0.334], [0.584, 0.167, 0.333], [0.000, 0.000, 0.500], [0.416, 0.833, 0.667]]
}

Record 5
{
  "formula": "Pr2Sm5Dy3",
  "functional": "PBE",
  "state": "optimized geometry",
  "magmom_total_mub_per_cell": 0.00,
  "density_g_cm3": 7.35,
  "crystal_system": "monoclinic",
  "formation_energy_ev_per_atom": 0.19,
  "vol_a3_per_cell": 686.9,
  "lattice": [[-6.634, -5.298, -4.420], [2.941, -9.103, -0.949], [-1.429, 5.405, 9.752]],
  "species": ["Pr", "Pr", "Pr", "Pr", "Sm", "Sm", "Sm", "Sm", "Sm", "Sm", "Sm", "Sm", "Sm", "Sm", "Dy", "Dy", "Dy", "Dy", "Dy", "Dy"],
  "fractional_positions": [[0.783, 0.017, 0.750], [0.217, 0.983, 0.250], [0.467, 0.733, 0.750], [0.533, 0.267, 0.250], [0.281, 0.531, 0.062], [0.719, 0.469, 0.938], [0.019, 0.769, 0.538], [0.522, 0.272, 0.545], [0.981, 0.231, 0.462], [0.478, 0.728, 0.455], [0.868, 0.613, 0.765], [0.132, 0.387, 0.235], [0.397, 0.152, 0.765], [0.603, 0.848, 0.235], [0.227, 0.977, 0.954], [0.773, 0.023, 0.046], [0.733, 0.462, 0.241], [0.267, 0.538, 0.759], [0.008, 0.778, 0.241], [0.992, 0.222, 0.759]]
}

Record 6
{
  "formula": "PrSm3Dy6",
  "functional": "PBE",
  "state": "optimized geometry",
  "magmom_total_mub_per_cell": 0.00,
  "density_g_cm3": 7.85,
  "crystal_system": "trigonal",
  "formation_energy_ev_per_atom": 0.28,
  "vol_a3_per_cell": 331.6,
  "lattice": [[-2.699, -4.606, 8.362], [2.294, -9.555, 1.363], [3.225, -3.677, 4.901]],
  "species": ["Pr", "Sm", "Sm", "Sm", "Dy", "Dy", "Dy", "Dy", "Dy", "Dy"],
  "fractional_positions": [[0.900, 0.900, 0.300], [0.400, 0.400, 0.800], [0.648, 0.648, 0.057], [0.152, 0.152, 0.543], [0.900, 0.572, 0.300], [0.228, 0.900, 0.300], [0.572, 0.228, 0.300], [0.074, 0.400, 0.800], [0.726, 0.074, 0.800], [0.400, 0.726, 0.800]]
}

Record 7
{
  "formula": "Pr3Sm6Dy",
  "functional": "PBE",
  "state": "optimized geometry",
  "magmom_total_mub_per_cell": 0.00,
  "density_g_cm3": 6.96,
  "crystal_system": "monoclinic",
  "formation_energy_ev_per_atom": 0.26,
  "vol_a3_per_cell": 355.0,
  "lattice": [[6.469, 0.000, -2.626], [-1.600, 12.477, -3.941], [-1.330, -2.898, 6.005]],
  "species": ["Pr", "Pr", "Pr", "Sm", "Sm", "Sm", "Sm", "Sm", "Sm", "Dy"],
  "fractional_positions": [[0.805, 0.338, 0.610], [0.195, 0.662, 0.390], [0.000, 0.000, 0.000], [0.289, 0.314, 0.117], [0.172, 0.686, 0.883], [0.711, 0.686, 0.883], [0.828, 0.314, 0.117], [0.330, 0.994, 0.660], [0.670, 0.006, 0.340], [0.500, 0.500, 0.000]]
}

Record 8
{
  "formula": "Pr2Sm3Dy6",
  "functional": "PBE",
  "state": "optimized geometry",
  "magmom_total_mub_per_cell": 0.00,
  "density_g_cm3": 7.41,
  "crystal_system": "monoclinic",
  "formation_energy_ev_per_atom": 0.18,
  "vol_a3_per_cell": 382.5,
  "lattice": [[1.004, -5.149, 3.252], [-3.075, -5.178, -1.392], [8.742, -4.744, -6.269]],
  "species": ["Pr", "Pr", "Sm", "Sm", "Sm", "Dy", "Dy", "Dy", "Dy", "Dy", "Dy"],
  "fractional_positions": [[0.167, 0.667, 0.500], [0.833, 0.333, 0.500], [0.000, 0.000, 0.000], [0.336, 0.329, 0.000], [0.664, 0.671, 0.000], [0.416, 0.667, 0.751], [0.749, 0.000, 0.752], [0.083, 0.333, 0.751], [0.251, 0.000, 0.248], [0.584, 0.333, 0.249], [0.917, 0.667, 0.249]]
}

Record 9
{
  "formula": "Pr3Sm12Dy",
  "functional": "PBE",
  "state": "optimized geometry",
  "magmom_total_mub_per_cell": 0.00,
  "density_g_cm3": 7.29,
  "crystal_system": "tetragonal",
  "formation_energy_ev_per_atom": 0.02,
  "vol_a3_per_cell": 544.6,
  "lattice": [[5.145, 0.000, 0.000], [0.000, 5.145, 0.000], [0.000, 0.000, 20.576]],
  "species": ["Pr", "Pr", "Pr", "Sm", "Sm", "Sm", "Sm", "Sm", "Sm", "Sm", "Sm", "Sm", "Sm", "Sm", "Sm", "Dy"],
  "fractional_positions": [[0.000, 0.000, 0.249], [0.000, 0.000, 0.500], [0.000, 0.000, 0.751], [0.500, 0.500, 0.000], [0.500, 0.500, 0.248], [0.500, 0.500, 0.500], [0.500, 0.500, 0.752], [0.500, 0.000, 0.123], [0.500, 0.000, 0.374], [0.500, 0.000, 0.626], [0.500, 0.000, 0.877], [0.000, 0.500, 0.123], [0.000, 0.500, 0.374], [0.000, 0.500, 0.626], [0.000, 0.500, 0.877], [0.000, 0.000, 0.000]]
}

Record 10
{
  "formula": "Pr2Sm6Dy5",
  "functional": "PBE",
  "state": "optimized geometry",
  "magmom_total_mub_per_cell": 0.00,
  "density_g_cm3": 7.53,
  "crystal_system": "orthorhombic",
  "formation_energy_ev_per_atom": 0.10,
  "vol_a3_per_cell": 880.1,
  "lattice": [[-3.032, -1.013, 1.729], [6.508, -5.613, 8.123], [0.702, 17.094, 11.250]],
  "species": ["Pr", "Pr", "Pr", "Pr", "Sm", "Sm", "Sm", "Sm", "Sm", "Sm", "Sm", "Sm", "Sm", "Sm", "Sm", "Sm", "Dy", "Dy", "Dy", "Dy", "Dy", "Dy", "Dy", "Dy", "Dy", "Dy"],
  "fractional_positions": [[0.000, 0.332, 0.284], [0.000, 0.668, 0.716], [0.000, 0.832, 0.216], [0.000, 0.168, 0.784], [0.000, 0.079, 0.365], [0.000, 0.921, 0.635], [0.000, 0.579, 0.135], [0.000, 0.421, 0.865], [0.500, 0.322, 0.127], [0.500, 0.678, 0.873], [0.500, 0.822, 0.373], [0.500, 0.178, 0.627], [0.000, 0.559, 0.423], [0.000, 0.441, 0.577], [0.000, 0.059, 0.077], [0.000, 0.941, 0.923], [0.500, 0.301, 0.446], [0.500, 0.699, 0.554], [0.500, 0.801, 0.054], [0.500, 0.199, 0.946], [0.500, 0.593, 0.278], [0.500, 0.407, 0.722], [0.500, 0.093, 0.222], [0.500, 0.907, 0.778], [0.500, 0.500, 0.000], [0.500, 0.000, 0.500]]
}

Record 11
{
  "formula": "Pr12Sm3Dy",
  "functional": "PBE",
  "state": "optimized geometry",
  "magmom_total_mub_per_cell": 0.00,
  "density_g_cm3": 6.76,
  "crystal_system": "tetragonal",
  "formation_energy_ev_per_atom": 0.01,
  "vol_a3_per_cell": 566.4,
  "lattice": [[5.215, 0.000, 0.000], [0.000, 5.215, 0.000], [0.000, 0.000, 20.824]],
  "species": ["Pr", "Pr", "Pr", "Pr", "Pr", "Pr", "Pr", "Pr", "Pr", "Pr", "Pr", "Pr", "Sm", "Sm", "Sm", "Dy"],
  "fractional_positions": [[0.500, 0.500, 0.000], [0.500, 0.500, 0.249], [0.500, 0.500, 0.500], [0.500, 0.500, 0.751], [0.500, 0.000, 0.124], [0.500, 0.000, 0.375], [0.500, 0.000, 0.625], [0.500, 0.000, 0.876], [0.000, 0.500, 0.124], [0.000, 0.500, 0.375], [0.000, 0.500, 0.625], [0.000, 0.500, 0.876], [0.000, 0.000, 0.249], [0.000, 0.000, 0.500], [0.000, 0.000, 0.751], [0.000, 0.000, 0.000]]
}

Record 12
{
  "formula": "Pr3SmDy6",
  "functional": "PBE",
  "state": "optimized geometry",
  "magmom_total_mub_per_cell": 0.00,
  "density_g_cm3": 7.67,
  "crystal_system": "orthorhombic",
  "formation_energy_ev_per_atom": 0.15,
  "vol_a3_per_cell": 670.1,
  "lattice": [[-3.621, -0.008, -5.262], [-3.318, -10.230, 2.299], [-5.662, 8.591, 3.882]],
  "species": ["Pr", "Pr", "Pr", "Pr", "Pr", "Pr", "Sm", "Sm", "Dy", "Dy", "Dy", "Dy", "Dy", "Dy", "Dy", "Dy", "Dy", "Dy", "Dy", "Dy"],
  "fractional_positions": [[0.464, 0.937, 0.709], [0.964, 0.709, 0.937], [0.072, 0.388, 0.612], [0.572, 0.612, 0.388], [0.964, 0.063, 0.291], [0.464, 0.291, 0.063], [0.128, 0.194, 0.806], [0.628, 0.806, 0.194], [0.048, 0.713, 0.623], [0.548, 0.623, 0.713], [0.373, 0.530, 0.949], [0.873, 0.949, 0.530], [0.367, 0.962, 0.038], [0.650, 0.272, 0.728], [0.150, 0.728, 0.272], [0.867, 0.038, 0.962], [0.373, 0.051, 0.470], [0.873, 0.470, 0.051], [0.048, 0.377, 0.287], [0.548, 0.287, 0.377]]
}

Record 13
{
  "formula": "Pr7Sm2Dy2",
  "functional": "PBE",
  "state": "optimized geometry",
  "magmom_total_mub_per_cell": 0.00,
  "density_g_cm3": 6.83,
  "crystal_system": "monoclinic",
  "formation_energy_ev_per_atom": 0.10,
  "vol_a3_per_cell": 391.9,
  "lattice": [[-7.753, -3.977, -1.835], [2.116, -3.673, -5.184], [0.628, -5.130, 4.259]],
  "species": ["Pr", "Pr", "Pr", "Pr", "Pr", "Pr", "Pr", "Sm", "Sm", "Dy", "Dy"],
  "fractional_positions": [[0.206, 0.084, 0.455], [0.794, 0.545, 0.916], [0.794, 0.916, 0.545], [0.206, 0.455, 0.084], [0.000, 0.000, 0.000], [0.416, 0.846, 0.846], [0.584, 0.154, 0.154], [0.856, 0.389, 0.389], [0.144, 0.611, 0.611], [0.500, 0.325, 0.675], [0.500, 0.675, 0.325]]
}

Record 14
{
  "formula": "Pr7Sm3Dy2",
  "functional": "PBE",
  "state": "optimized geometry",
  "magmom_total_mub_per_cell": 0.00,
  "density_g_cm3": 6.94,
  "crystal_system": "monoclinic",
  "formation_energy_ev_per_atom": 0.09,
  "vol_a3_per_cell": 421.8,
  "lattice": [[-2.384, 1.646, 2.212], [-3.793, -4.586, -0.676], [8.729, -7.963, 15.334]],
  "species": ["Pr", "Pr", "Pr", "Pr", "Pr", "Pr", "Pr", "Sm", "Sm", "Sm", "Dy", "Dy"],
  "fractional_positions": [[0.500, 0.743, 0.465], [0.500, 0.257, 0.535], [0.000, 0.677, 0.146], [0.000, 0.000, 0.000], [0.000, 0.323, 0.854], [0.500, 0.820, 0.816], [0.500, 0.180, 0.184], [0.500, 0.500, 0.000], [0.000, 0.216, 0.367], [0.000, 0.784, 0.633], [0.500, 0.707, 0.297], [0.500, 0.293, 0.703]]
}

Record 15
{
  "formula": "Pr2SmDy8",
  "functional": "PBE",
  "state": "optimized geometry",
  "magmom_total_mub_per_cell": 0.00,
  "density_g_cm3": 8.05,
  "crystal_system": "monoclinic",
  "formation_energy_ev_per_atom": 0.02,
  "vol_a3_per_cell": 357.2,
  "lattice": [[0.117, 1.166, -4.928], [-6.665, -4.284, -1.173], [-2.940, 7.858, 4.393]],
  "species": ["Pr", "Pr", "Sm", "Dy", "Dy", "Dy", "Dy", "Dy", "Dy", "Dy", "Dy"],
  "fractional_positions": [[0.227, 0.638, 0.454], [0.773, 0.362, 0.546], [0.500, 0.000, 0.000], [0.590, 0.454, 0.179], [0.319, 0.092, 0.638], [0.135, 0.178, 0.271], [0.044, 0.727, 0.089], [0.865, 0.822, 0.729], [0.681, 0.908, 0.362], [0.410, 0.546, 0.821], [0.956, 0.273, 0.911]]
}

Record 16
{
  "formula": "Pr2Sm5Dy2",
  "functional": "PBE",
  "state": "optimized geometry",
  "magmom_total_mub_per_cell": 0.00,
  "density_g_cm3": 7.04,
  "crystal_system": "monoclinic",
  "formation_energy_ev_per_atom": 0.22,
  "vol_a3_per_cell": 320.6,
  "lattice": [[3.459, 0.000, -0.714], [-0.492, 7.977, -2.383], [0.753, -2.994, 12.395]],
  "species": ["Pr", "Pr", "Sm", "Sm", "Sm", "Sm", "Sm", "Dy", "Dy"],
  "fractional_positions": [[0.821, 0.791, 0.642], [0.179, 0.209, 0.358], [0.690, 0.847, 0.380], [0.310, 0.153, 0.620], [0.905, 0.548, 0.810], [0.095, 0.452, 0.190], [0.000, 0.000, 0.000], [0.548, 0.738, 0.095], [0.452, 0.262, 0.905]]
}

Record 17
{
  "formula": "Pr9Sm2Dy3",
  "functional": "PBE",
  "state": "optimized geometry",
  "magmom_total_mub_per_cell": 0.00,
  "density_g_cm3": 6.67,
  "crystal_system": "hexagonal",
  "formation_energy_ev_per_atom": 0.23,
  "vol_a3_per_cell": 1024.2,
  "lattice": [[-6.770, 6.111, -1.232], [-0.176, -5.663, 7.252], [7.108, 9.388, 7.503]],
  "species": ["Pr", "Pr", "Pr", "Pr", "Pr", "Pr", "Pr", "Pr", "Pr", "Pr", "Pr", "Pr", "Pr", "Pr", "Pr", "Pr", "Pr", "Pr", "Sm", "Sm", "Sm", "Sm", "Dy", "Dy", "Dy", "Dy", "Dy", "Dy"],
  "fractional_positions": [[0.518, 0.598, 0.750], [0.725, 0.595, 0.460], [0.725, 0.595, 0.040], [0.402, 0.920, 0.750], [0.869, 0.275, 0.040], [0.869, 0.275, 0.460], [0.405, 0.131, 0.040], [0.405, 0.131, 0.460], [0.920, 0.518, 0.250], [0.080, 0.482, 0.750], [0.595, 0.869, 0.960], [0.595, 0.869, 0.540], [0.131, 0.725, 0.540], [0.131, 0.725, 0.960], [0.598, 0.080, 0.250], [0.275, 0.405, 0.540], [0.275, 0.405, 0.960], [0.482, 0.402, 0.250], [0.667, 0.333, 0.642], [0.667, 0.333, 0.858], [0.333, 0.667, 0.142], [0.333, 0.667, 0.358], [0.751, 0.829, 0.250], [0.171, 0.922, 0.250], [0.078, 0.249, 0.250], [0.922, 0.751, 0.750], [0.829, 0.078, 0.750], [0.249, 0.171, 0.750]]
}

Record 18
{
  "formula": "Pr6SmDy",
  "functional": "PBE",
  "state": "optimized geometry",
  "magmom_total_mub_per_cell": 0.00,
  "density_g_cm3": 6.82,
  "crystal_system": "tetragonal",
  "formation_energy_ev_per_atom": 0.01,
  "vol_a3_per_cell": 282.1,
  "lattice": [[-4.948, 1.612, -0.121], [-1.313, -4.233, -2.730], [-1.888, -5.129, 8.861]],
  "species": ["Pr", "Pr", "Pr", "Pr", "Pr", "Pr", "Sm", "Dy"],
  "fractional_positions": [[0.500, 0.500, 0.000], [0.500, 0.500, 0.500], [0.500, 0.000, 0.251], [0.500, 0.000, 0.749], [0.000, 0.500, 0.251], [0.000, 0.500, 0.749], [0.000, 0.000, 0.000], [0.000, 0.000, 0.500]]
}

Record 19
{
  "formula": "Pr7SmDy12",
  "functional": "PBE",
  "state": "optimized geometry",
  "magmom_total_mub_per_cell": 0.00,
  "density_g_cm3": 6.98,
  "crystal_system": "cubic",
  "formation_energy_ev_per_atom": 0.62,
  "vol_a3_per_cell": 734.6,
  "lattice": [[9.282, 0.000, -3.282], [-4.641, 8.039, -3.282], [0.000, 0.000, 9.845]],
  "species": ["Pr", "Pr", "Pr", "Pr", "Pr", "Pr", "Pr", "Sm", "Dy", "Dy", "Dy", "Dy", "Dy", "Dy", "Dy", "Dy", "Dy", "Dy", "Dy", "Dy"],
  "fractional_positions": [[0.500, 0.500, 0.000], [0.000, 0.500, 0.500], [0.500, 0.000, 0.500], [0.500, 0.500, 0.500], [0.000, 0.000, 0.500], [0.500, 0.000, 0.000], [0.000, 0.500, 0.000], [0.000, 0.000, 0.000], [0.503, 0.752, 0.752], [0.000, 0.752, 0.248], [0.497, 0.248, 0.248], [0.000, 0.248, 0.752], [0.752, 0.000, 0.248], [0.752, 0.503, 0.752], [0.248, 0.000, 0.752], [0.248, 0.497, 0.248], [0.752, 0.752, 0.503], [0.248, 0.248, 0.497], [0.752, 0.248, 0.000], [0.248, 0.752, 0.000]]
}